# Pr6TcO12 GGA-PBE optimized geometry
data_Pr6TcO12
_cell_length_a 10.2564
_cell_length_b 10.2564
_cell_length_c 9.8682
_cell_angle_alpha 90.00
_cell_angle_beta 90.00
_cell_angle_gamma 120.00
_symmetry_space_group_name_H-M 'R -3'
_symmetry_Int_Tables_number 148
_symmetry_space_group_name_Hall '-R 3'
loop_
_atom_site_label
_atom_site_fract_x
_atom_site_fract_y
_atom_site_fract_z
_atom_site_occupancy
Pr1 0.0469 0.7896 0.1455 1
Tc1 0.0000 0.0000 0.5000 1
O1 0.0375 0.8112 0.9038 1
O2 0.0396 0.8610 0.3926 1
# Magnetic moment: 1.00 μB/f.u.
# Formation energy without anion corrections: -2.92 eV per atom